Entry 1:
YZnNiPd | PBE-GGA | relaxed

```
YZnNiPd
1.0
0.000 3.243 3.243
3.243 0.000 3.243
3.243 3.243 0.000
Y Zn Ni Pd
1 1 1 1
Direct
0.000 0.000 0.000
0.500 0.500 0.500
0.750 0.750 0.750
0.250 0.250 0.250
```

Calculated values
Size of the total moment ... 0.00 μB/f.u.
DFT formation energy ... -1.94 eV per formula unit
Total DFT energy (no corrections) ... -0.1875 hartree per atom

=====

Entry 2:
ZnNiPd | PBE-GGA | relaxed

```
ZnNiPd
1.0
0.000 2.894 2.894
2.894 0.000 2.894
2.894 2.894 0.000
Zn Ni Pd
1 1 1
Direct
0.000 0.000 0.000
0.500 0.500 0.500
0.750 0.750 0.750
```

Calculated values
Size of the total moment ... 0.01 μB/f.u.
Energy above the lowest structure with this stoichiometry ... 87 meV/atom
DFT formation energy ... 0.37 eV per formula unit
Total DFT energy (no corrections) ... -0.1426 hartree per atom